This record from the Alexandria database describes a relaxed Li2TiCr2O6 crystal. The functional is GGA-PBEsol.

Structure (POSCAR):
```
Li2TiCr2O6
1.0
-4.490 0.090 2.268
1.554 -4.172 -2.338
4.221 -3.183 8.484
Cr O Li Ti
4 12 4 2
Direct
0.664 0.328 0.500 Cr
0.164 0.328 0.000 Cr
0.836 0.672 0.000 Cr
0.336 0.672 0.500 Cr
0.830 0.000 0.899 O
0.664 0.659 0.607 O
0.336 0.341 0.393 O
0.495 0.659 0.107 O
0.995 0.659 0.393 O
0.164 0.659 0.893 O
0.836 0.341 0.107 O
0.505 0.341 0.893 O
0.670 0.000 0.399 O
0.330 0.000 0.601 O
0.170 0.000 0.101 O
0.005 0.341 0.607 O
0.652 0.500 0.250 Li
0.152 0.500 0.250 Li
0.348 0.500 0.750 Li
0.848 0.500 0.750 Li
0.500 0.000 0.000 Ti
0.000 0.000 0.500 Ti
```

Output
SG   No. 64
Total magnetic moment   0.5455 μB/atom
ρ   3.97 g/cm3
ΔE_f (raw)   -2.261 eV/atom


This record from the Alexandria database describes a relaxed Mn2F7 crystal. The functional is GGA-PBEsol.

Structure (POSCAR):
```
Mn2F7
1.0
5.034 0.000 -0.081
2.517 5.065 -0.040
1.979 0.000 9.532
Mn F
4 14
Direct
0.748 0.066 0.424 Mn
0.186 0.066 0.076 Mn
0.252 0.934 0.576 Mn
0.814 0.934 0.924 Mn
0.985 0.029 0.750 F
0.458 0.127 0.603 F
0.966 0.225 0.488 F
0.507 0.353 0.353 F
0.493 0.647 0.647 F
0.542 0.873 0.397 F
0.415 0.127 0.897 F
0.585 0.873 0.103 F
0.015 0.971 0.250 F
0.140 0.353 0.147 F
0.191 0.775 0.988 F
0.809 0.225 0.012 F
0.860 0.647 0.853 F
0.034 0.775 0.512 F
```

Output
SG   No. 15
Density of states at the Fermi level   0.58 states/eV/f.u.
Total magnetic moment   0.7778 μB/atom
ρ   3.31 g/cm3
ΔE_f (raw)   -2.258 eV/atom


This record from the Alexandria database describes a relaxed AsRuS3 crystal. The functional is GGA-PBEsol.

Structure (POSCAR):
```
AsRuS3
1.0
4.515 0.000 0.000
0.000 4.515 0.000
0.000 0.000 4.515
S Ru As
3 1 1
Direct
0.500 0.000 0.000 S
0.000 0.000 0.500 S
0.000 0.500 0.000 S
0.000 0.000 0.000 Ru
0.500 0.500 0.500 As
```

Output
SG   No. 221
Density of states at the Fermi level   4.91 states/eV/f.u.
Total magnetic moment   0.0003 μB/atom
ρ   4.91 g/cm3
ΔE_f (raw)   0.489 eV/atom


This record from the Alexandria database describes a relaxed LiNbAlAg2 crystal. The functional is GGA-PBEsol.

Structure (POSCAR):
```
LiNbAlAg2
1.0
4.922 0.000 0.000
0.000 5.082 0.000
0.000 0.000 5.082
Nb Ag Li Al
1 2 1 1
Direct
0.000 0.000 0.000 Nb
0.000 0.500 0.000 Ag
0.000 0.000 0.500 Ag
0.500 0.000 0.000 Li
0.500 0.500 0.500 Al
```

Output
SG   No. 123
Density of states at the Fermi level   4.85 states/eV/f.u.
Total magnetic moment   0.5929 μB/atom
ρ   4.48 g/cm3
Energy relative to the elements   1.52 eV per atom


This record from the Alexandria database describes a relaxed Ba3TmB3O9 crystal. The functional is GGA-PBEsol.

Structure (POSCAR):
```
Ba3TmB3O9
1.0
-1.686 7.939 -4.710
-6.368 -6.892 0.010
-7.386 6.846 14.183
O B Ba Tm
54 18 18 6
Direct
0.148 0.815 0.252 O
0.852 0.667 0.252 O
0.674 0.526 0.933 O
0.820 0.000 0.418 O
0.185 0.852 0.752 O
0.661 0.148 0.086 O
0.853 0.526 0.433 O
0.339 0.852 0.586 O
0.326 0.474 0.433 O
0.852 0.513 0.086 O
0.513 0.661 0.586 O
0.147 0.474 0.933 O
0.674 0.147 0.433 O
0.326 0.853 0.933 O
0.000 0.180 0.918 O
0.852 0.185 0.752 O
0.474 0.326 0.433 O
0.333 0.185 0.252 O
0.193 0.000 0.570 O
0.852 0.339 0.586 O
0.333 0.148 0.752 O
0.000 0.481 0.753 O
0.513 0.852 0.086 O
0.820 0.820 0.918 O
0.000 0.519 0.253 O
0.000 0.807 0.070 O
0.147 0.674 0.433 O
0.519 0.519 0.753 O
0.180 0.180 0.418 O
0.474 0.147 0.933 O
0.000 0.193 0.570 O
0.526 0.674 0.933 O
0.000 0.820 0.418 O
0.185 0.333 0.252 O
0.807 0.000 0.070 O
0.481 0.481 0.253 O
0.526 0.853 0.433 O
0.148 0.333 0.752 O
0.481 0.000 0.753 O
0.519 0.000 0.253 O
0.180 0.000 0.918 O
0.487 0.339 0.086 O
0.815 0.148 0.252 O
0.807 0.807 0.570 O
0.148 0.661 0.086 O
0.487 0.148 0.586 O
0.667 0.852 0.252 O
0.193 0.193 0.070 O
0.853 0.326 0.933 O
0.667 0.815 0.752 O
0.339 0.487 0.086 O
0.148 0.487 0.586 O
0.661 0.513 0.586 O
0.815 0.667 0.752 O
0.667 0.000 0.252 B
0.000 0.674 0.427 B
0.000 0.326 0.927 B
0.000 0.660 0.081 B
0.000 0.333 0.752 B
0.333 0.333 0.252 B
0.333 0.000 0.752 B
0.326 0.326 0.427 B
0.340 0.340 0.081 B
0.660 0.660 0.581 B
0.000 0.667 0.252 B
0.326 0.000 0.927 B
0.674 0.000 0.427 B
0.660 0.000 0.081 B
0.667 0.667 0.752 B
0.000 0.340 0.581 B
0.674 0.674 0.927 B
0.340 0.000 0.581 B
0.346 0.346 0.873 Ba
0.000 0.000 0.783 Ba
0.346 0.000 0.373 Ba
0.320 0.320 0.631 Ba
0.000 0.680 0.631 Ba
0.000 0.346 0.373 Ba
0.000 0.320 0.131 Ba
0.667 0.333 0.726 Ba
0.680 0.680 0.131 Ba
0.654 0.654 0.373 Ba
0.333 0.667 0.726 Ba
0.320 0.000 0.131 Ba
0.000 0.654 0.873 Ba
0.680 0.000 0.631 Ba
0.667 0.333 0.226 Ba
0.000 0.000 0.283 Ba
0.333 0.667 0.226 Ba
0.654 0.000 0.873 Ba
0.667 0.333 0.004 Tm
0.333 0.667 0.504 Tm
0.000 0.000 0.999 Tm
0.333 0.667 0.004 Tm
0.667 0.333 0.504 Tm
0.000 0.000 0.499 Tm
```

Output
SG   No. 185
Density of states at the Fermi level   0.00 states/eV/f.u.
Total magnetic moment   0.0000 μB/atom
ρ   5.69 g/cm3
ΔE_f (raw)   -2.952 eV/atom


This record from the Alexandria database describes a relaxed Sc2Ru crystal. The functional is GGA-PBEsol.

Structure (POSCAR):
```
Sc2Ru
1.0
-1.683 -1.501 -2.354
1.854 -4.172 1.334
-4.579 -0.222 5.673
Sc Ru
4 2
Direct
0.718 0.250 0.436 Sc
0.428 0.250 0.856 Sc
0.572 0.750 0.144 Sc
0.282 0.750 0.564 Sc
0.923 0.750 0.845 Ru
0.077 0.250 0.155 Ru
```

Output
SG   No. 63
Density of states at the Fermi level   1.99 states/eV/f.u.
Total magnetic moment   0.0001 μB/atom
ρ   5.75 g/cm3
Energy relative to the elements   -0.40 eV per atom


This record from the Alexandria database describes a relaxed Mn3Cu2NiP6O24 crystal. The functional is GGA-PBEsol.

Structure (POSCAR):
```
Mn3Cu2NiP6O24
1.0
8.311 -0.012 -0.008
4.126 7.214 -0.008
4.126 2.390 6.807
O Cu P Ni Mn
24 2 6 1 3
Direct
0.501 0.124 0.313 O
0.124 0.313 0.501 O
0.206 0.372 0.979 O
0.734 0.961 0.072 O
0.979 0.206 0.372 O
0.268 0.036 0.923 O
0.009 0.802 0.630 O
0.313 0.501 0.124 O
0.587 0.435 0.245 O
0.372 0.979 0.206 O
0.407 0.580 0.753 O
0.961 0.072 0.734 O
0.802 0.630 0.009 O
0.630 0.009 0.802 O
0.923 0.268 0.036 O
0.072 0.734 0.961 O
0.036 0.923 0.268 O
0.883 0.672 0.509 O
0.753 0.407 0.580 O
0.672 0.509 0.883 O
0.580 0.753 0.407 O
0.435 0.245 0.587 O
0.509 0.883 0.672 O
0.245 0.587 0.435 O
0.501 0.501 0.501 Cu
0.001 0.001 0.001 Cu
0.038 0.749 0.462 P
0.537 0.962 0.249 P
0.249 0.537 0.962 P
0.962 0.249 0.537 P
0.462 0.038 0.749 P
0.749 0.462 0.038 P
0.140 0.140 0.140 Ni
0.360 0.360 0.360 Mn
0.641 0.641 0.641 Mn
0.860 0.860 0.860 Mn
```

Output
SG   No. 146
Density of states at the Fermi level   20.13 states/eV/f.u.
Total magnetic moment   0.3205 μB/atom
ρ   3.74 g/cm3
ΔE_f (raw)   -1.728 eV/atom


This record from the Alexandria database describes a relaxed Ta2AlW crystal. The functional is GGA-PBEsol.

Structure (POSCAR):
```
Ta2AlW
1.0
-1.908 -1.987 0.232
2.513 -2.035 3.244
-1.899 3.382 3.593
Al Ta W
1 2 1
Direct
0.290 0.500 0.751 Al
0.732 0.500 0.259 Ta
0.996 0.000 0.997 Ta
0.482 0.000 0.493 W
```

Output
SG   No. 6
Density of states at the Fermi level   3.30 states/eV/f.u.
Total magnetic moment   0.0001 μB/atom
ρ   14.38 g/cm3
Energy relative to the elements   -0.05 eV per atom


This record from the Alexandria database describes a relaxed MgTc2Ag crystal. The functional is GGA-PBEsol.

Structure (POSCAR):
```
MgTc2Ag
1.0
-1.936 0.001 -1.888
0.603 -4.400 -0.621
-3.480 -0.981 3.568
Mg Ag Tc
1 1 2
Direct
0.500 0.500 0.500 Mg
0.500 0.500 0.000 Ag
0.000 0.000 0.728 Tc
0.000 0.000 0.272 Tc
```

Output
SG   No. 47
Density of states at the Fermi level   3.10 states/eV/f.u.
Total magnetic moment   0.0002 μB/atom
ρ   8.85 g/cm3
Energy relative to the elements   0.40 eV per atom


This record from the Alexandria database describes a relaxed TaBe3Te crystal. The functional is GGA-PBEsol.

Structure (POSCAR):
```
TaBe3Te
1.0
-0.955 1.047 -4.269
-4.204 -1.491 0.575
-1.282 4.112 1.295
Te Ta Be
1 1 3
Direct
0.500 0.500 0.500 Te
0.000 0.000 0.000 Ta
0.500 0.000 0.000 Be
0.000 0.500 0.000 Be
0.000 0.000 0.500 Be
```

Output
SG   No. 221
Density of states at the Fermi level   2.32 states/eV/f.u.
Total magnetic moment   0.0000 μB/atom
ρ   6.12 g/cm3
ΔE_f (raw)   1.513 eV/atom


This record from the Alexandria database describes a relaxed Sr2CdBi crystal. The functional is GGA-PBEsol.

Structure (POSCAR):
```
Sr2CdBi
1.0
-3.041 -4.764 -0.854
0.102 -4.191 3.886
-4.624 -1.050 3.193
Cd Sr Bi
1 2 1
Direct
0.000 0.000 0.000 Cd
0.250 0.250 0.250 Sr
0.750 0.750 0.750 Sr
0.500 0.500 0.500 Bi
```

Output
SG   No. 225
Density of states at the Fermi level   3.15 states/eV/f.u.
Total magnetic moment   0.0000 μB/atom
ρ   6.24 g/cm3
Energy relative to the elements   -0.60 eV per atom


This record from the Alexandria database describes a relaxed Pr9O16 crystal. The functional is GGA-PBEsol.

Structure (POSCAR):
```
Pr9O16
1.0
-0.817 -1.198 -6.619
1.119 -6.829 0.074
-8.174 -3.824 0.203
O Pr
16 9
Direct
0.332 0.917 0.058 O
0.641 0.577 0.434 O
0.431 0.491 0.856 O
0.878 0.194 0.454 O
0.973 0.785 0.257 O
0.782 0.611 0.702 O
0.218 0.389 0.298 O
0.668 0.083 0.942 O
0.569 0.509 0.144 O
0.069 0.298 0.045 O
0.122 0.806 0.546 O
0.527 0.004 0.664 O
0.931 0.702 0.955 O
0.027 0.215 0.743 O
0.473 0.996 0.336 O
0.359 0.423 0.566 O
0.408 0.240 0.101 Pr
0.325 0.695 0.325 Pr
0.112 0.521 0.772 Pr
0.888 0.479 0.228 Pr
0.231 0.126 0.527 Pr
0.592 0.760 0.899 Pr
0.769 0.874 0.473 Pr
0.675 0.305 0.675 Pr
0.000 0.000 0.000 Pr
```

Output
SG   No. 2
Density of states at the Fermi level   14.76 states/eV/f.u.
Total magnetic moment   0.2054 μB/atom
ρ   6.33 g/cm3
ΔE_f (raw)   -2.873 eV/atom